VASP calculation (GGA-PBE) on an optimized crystal structure of Na8Hg6Bi.

Computed properties:
Its energy relative to the elements is -2.81 eV/f.u. The calculation puts the total energy at -1.27 eV per atom. The value obtained for the volume is 30.12 A^3/atom. Its space group is R-3.

a = 8.2383 Å, b = 8.2383 Å, c = 8.2383 Å
α = 66.64°, β = 66.64°, γ = 66.64°
Sites, in units of the cell vectors:
Na (0.0898, 0.6944, 0.3771)
Na (0.1655, 0.1655, 0.1655)
Na (0.3056, 0.6229, 0.9102)
Na (0.3771, 0.0898, 0.6944)
Na (0.6229, 0.9102, 0.3056)
Na (0.6944, 0.3771, 0.0898)
Na (0.8345, 0.8345, 0.8345)
Na (0.9102, 0.3056, 0.6229)
Hg (0.0891, 0.4501, 0.7975)
Hg (0.2025, 0.9109, 0.5499)
Hg (0.4501, 0.7975, 0.0891)
Hg (0.5499, 0.2025, 0.9109)
Hg (0.7975, 0.0891, 0.4501)
Hg (0.9109, 0.5499, 0.2025)
Bi (0.5000, 0.5000, 0.5000)